DFT (PBE) results for a relaxed TbPa2N4 crystal.

a b c (Å): 6.3281 6.3281 6.3281
angles (deg): 108.19 108.19 112.07
Closest atoms and distances in Å follow each position.
Element x y z (fractional)
Tb: 0.0000 0.0000 0.0000  8 N 2.44-2.70
Tb: 0.7500 0.2500 0.5000  8 N 2.44-2.70
Pa: 0.2338 0.1250 0.6088  4 N 2.27-2.37
Pa: 0.3750 0.7662 0.8912  4 N 2.27-2.37
Pa: 0.5162 0.6250 0.3912  4 N 2.27-2.37
Pa: 0.8750 0.4838 0.1088  4 N 2.27-2.37
N: 0.0106 0.7565 0.6222  2 Pa 2.27-2.37, 1 Tb 2.44
N: 0.1343 0.3884 0.3778  2 Pa 2.27-2.37, 1 Tb 2.44
N: 0.1384 0.3843 0.8778  2 Pa 2.27-2.37, 1 Tb 2.44
N: 0.2435 0.8657 0.2541  2 Pa 2.27-2.37, 1 Tb 2.44
N: 0.5065 0.2606 0.1222  2 Pa 2.27-2.37, 1 Tb 2.44
N: 0.6116 0.9894 0.7459  2 Pa 2.27-2.37, 1 Tb 2.44
N: 0.6157 0.4935 0.7541  2 Pa 2.27-2.37, 1 Tb 2.44
N: 0.7394 0.8616 0.2459  2 Pa 2.27-2.37, 1 Tb 2.44

Values from the calculation:
Symmetry = I-42d, No. 122
Formation energy from raw total energies = -1.5195 eV/atom